No. 1
Entry from the Alexandria database: an optimized crystal structure of PrEuH (PBE).

Values from the calculation:
**Polymorph energy (0 for the lowest one)**: 0.107 eV/atom
**D(E_F)**: 1.00 states/eV per atom
**Magnetization**: 7.467 μB/f.u.

a = 3.5219 Å, b = 3.5219 Å, c = 12.7044 Å
α = 90.00°, β = 90.00°, γ = 90.00°
Closest atoms and distances in Å follow each position.
Space group I4mm (No. 107)
Inequivalent atoms, fractional coordinates:
Pr1 0.0000 0.0000 0.0000 [2 per cell]  4 H 2.51
Eu1 0.0000 0.0000 0.2807 [2 per cell]  1 H 2.45
H1 0.0000 0.0000 0.4736 [2 per cell]  1 Eu 2.45, 4 Pr 2.51



No. 2
Entry from the Alexandria database: an optimized crystal structure of RbMgAgC2 (PBE).

Values from the calculation:
**D(E_F)**: 0.52 states/eV per atom
**Energy relative to the elements**: 2.19 eV/atom
**Magnetization**: 1.294 μB/f.u.

a = 4.4077 Å, b = 4.4077 Å, c = 5.6394 Å
α = 90.00°, β = 90.00°, γ = 90.00°
Closest atoms and distances in Å follow each position.
Space group P4/mmm (No. 123)
Inequivalent atoms, fractional coordinates:
Rb1 0.0000 0.0000 0.0000 [1 per cell]  2 Mg 2.82, 4 Ag 3.12
Mg1 0.0000 0.0000 0.5000 [1 per cell]  4 C 2.20
Ag1 0.5000 0.5000 0.0000 [1 per cell]  4 Rb 3.12
C1 0.0000 0.5000 0.5000 [2 per cell]  2 Mg 2.20



No. 3
Entry from the Alexandria database: an optimized crystal structure of InSb2Pd6 (PBE).

Values from the calculation:
**D(E_F)**: 0.19 states/eV per atom
**Raw total energy**: -5.1449 eV/atom
**Magnetization**: 0.000 μB/f.u.

a = 7.4420 Å, b = 7.4420 Å, c = 3.3007 Å
α = 90.00°, β = 90.00°, γ = 120.00°
Closest atoms and distances in Å follow each position.
Space group P-62m (No. 189)
Inequivalent atoms, fractional coordinates:
In1 0.0000 0.0000 0.0000 [1 per cell]  9 Pd 2.74-2.81
Sb1 0.3333 0.6667 0.5000 [2 per cell]  9 Pd 2.64-2.86
Pd1 0.0000 0.3774 0.0000 [3 per cell]  1 In 2.81, 4 Sb 2.86, 6 Pd 2.96-3.04
Pd2 0.0000 0.7068 0.5000 [3 per cell]  2 Sb 2.64, 2 In 2.74, 2 Pd 2.96



No. 4
Entry from the Alexandria database: an optimized crystal structure of ZrFeSi (PBE).

Values from the calculation:
**D(E_F)**: 0.66 states/eV per atom
**Raw total energy**: -7.9428 eV/atom
**Magnetization**: 0.172 μB/f.u.

a = 13.7798 Å, b = 3.3064 Å, c = 4.2208 Å
α = 90.00°, β = 101.35°, γ = 90.00°
Closest atoms and distances in Å follow each position.
Space group Cm (No. 8)
Inequivalent atoms, fractional coordinates:
Zr1 0.0000 0.0000 0.0000 [2 per cell]  6 Si 2.78-2.82, 2 Fe 2.99
Zr2 0.2140 0.5000 0.1525 [2 per cell]  4 Fe 2.59-2.85, 3 Si 2.80-2.90
Fe1 0.1801 0.0000 0.5907 [2 per cell]  3 Si 2.22-2.29
Fe2 0.3904 0.0000 0.4027 [2 per cell]  3 Si 2.22-2.33
Si1 0.0629 0.5000 0.5438 [2 per cell]  3 Fe 2.29-2.33
Si2 0.3352 0.0000 0.8623 [2 per cell]  3 Fe 2.22-2.26



No. 5
Entry from the Alexandria database: an optimized crystal structure of TcIr8Ru2 (PBE).

Values from the calculation:
**D(E_F)**: 1.04 states/eV per atom
**Energy relative to the elements**: 0.11 eV/atom
**Magnetization**: 0.000 μB/f.u.

a = 3.8184 Å, b = 7.6283 Å, c = 11.5019 Å
α = 90.00°, β = 90.00°, γ = 90.00°
Closest atoms and distances in Å follow each position.
Space group Immm (No. 71)
Inequivalent atoms, fractional coordinates:
Tc1 0.0000 0.0000 0.0000 [2 per cell]  12 Ir 2.69-2.74
Ir1 0.0000 0.2476 0.5000 [4 per cell]  6 Ir 2.68-2.75, 2 Ru 2.69, 2 Tc 2.71
Ir2 0.0000 0.2523 0.1636 [8 per cell]  7 Ir 2.68-2.76, 3 Ru 2.69-2.74, 1 Tc 2.69
Ir3 0.0000 0.5000 0.3287 [4 per cell]  2 Ru 2.67, 8 Ir 2.68-2.75, 2 Tc 2.74
Ru1 0.0000 0.0000 0.3334 [4 per cell]  10 Ir 2.67-2.74



No. 6
Entry from the Alexandria database: an optimized crystal structure of LaTb2ThSe4 (PBE).

Values from the calculation:
**D(E_F)**: 0.49 states/eV per atom
**Raw total energy**: -6.2083 eV/atom
**Magnetization**: 0.000 μB/f.u.

a = 7.1781 Å, b = 4.1244 Å, c = 7.3483 Å
α = 90.00°, β = 108.92°, γ = 90.00°
Closest atoms and distances in Å follow each position.
Space group P2/m (No. 10)
Inequivalent atoms, fractional coordinates:
La1 0.0000 0.0000 0.0000 [1 per cell]  6 Se 3.02-3.03
Tb1 0.0000 0.5000 0.5000 [1 per cell]  6 Se 2.90-2.91
Tb2 0.5000 0.0000 0.5000 [1 per cell]  6 Se 2.88
Th1 0.5000 0.5000 0.0000 [1 per cell]  6 Se 3.00-3.01
Se1 0.2478 0.0000 0.7359 [2 per cell]  3 Tb 2.88-2.90, 2 Th 3.00, 1 La 3.03
Se2 0.2577 0.5000 0.2657 [2 per cell]  3 Tb 2.88-2.91, 1 Th 3.01, 2 La 3.02